Entry from Alexandria via LeMat-Bulk: a geometry-optimized Be2PSe structure (GGA-PBE).

Properties
Space-group type = F-43m (216)
Formation energy (no corrections) = 3.5 eV per formula unit
ΔE to the lowest computed polymorph = 1210 meV/atom
Energy = -3.216 eV/atom

```
Be2PSe
1.0
4.2836 0.0000 0.0000
2.1418 3.7097 0.0000
2.1418 1.2366 3.4975
P Se Be
1 1 2
direct
0.5000 0.5000 0.5000 P
0.7500 0.7500 0.7500 Se
0.0000 0.0000 0.0000 Be
0.2500 0.2500 0.2500 Be
```

Entry from Alexandria via LeMat-Bulk: a geometry-optimized Ca2HgTe structure (GGA-PBE).

Properties
Space-group type = Pm (6)
Formation energy (no corrections) = -3.5 eV per formula unit
ΔE to the lowest computed polymorph = 79 meV/atom
Energy = -2.727 eV/atom

```
Ca2HgTe
1.0
-4.6267 -0.9976 4.3369
2.9993 -1.8671 2.7703
0.8329 4.0329 1.8163
Ca Te Hg
2 1 1
direct
0.0000 0.8737 0.8738 Ca
0.5000 0.3765 0.3764 Ca
0.5000 0.8764 0.8763 Te
0.0000 0.3734 0.3735 Hg
```

Entry from Alexandria via LeMat-Bulk: a geometry-optimized PrDy4Tl4 structure (GGA-PBE).

Properties
Space-group type = P4_2/n (86)
Energy = -3.791 eV/atom
Formation enthalpy at 0 K = -0.163 eV/atom

```
PrDy4Tl4
1.0
-4.6700 2.1046 2.9294
-3.8074 -8.7290 0.2016
4.4054 -1.7306 8.2662
Pr Dy Tl
2 8 8
direct
0.0000 0.0000 0.0000 Pr
0.5000 0.5000 0.5000 Pr
0.3927 0.4209 0.8444 Dy
0.8927 0.6556 0.9209 Dy
0.3927 0.5791 0.1556 Dy
0.1073 0.0791 0.6556 Dy
0.6073 0.8444 0.5791 Dy
0.1073 0.9209 0.3444 Dy
0.8927 0.3444 0.0791 Dy
0.6073 0.1556 0.4209 Dy
0.5974 0.8937 0.2136 Tl
0.5974 0.1063 0.7864 Tl
0.0974 0.7136 0.6063 Tl
0.9026 0.3937 0.7136 Tl
0.9026 0.6063 0.2864 Tl
0.4026 0.2136 0.1063 Tl
0.4026 0.7864 0.8937 Tl
0.0974 0.2864 0.3937 Tl
```

Entry from Alexandria via LeMat-Bulk: a geometry-optimized InPdO2F structure (GGA-PBE).

Properties
Space-group type = P4/mmm (123)
Formation energy (no corrections) = -3.0 eV per formula unit
Energy = -4.547 eV/atom

```
InPdO2F
1.0
4.0727 0.0000 0.0000
0.0000 4.0727 0.0000
0.0000 0.0000 4.1577
F O Pd In
1 2 1 1
direct
0.0000 0.0000 0.5000 F
0.0000 0.5000 0.0000 O
0.5000 0.0000 0.0000 O
0.0000 0.0000 0.0000 Pd
0.5000 0.5000 0.5000 In
```

- energy of number 2 (Ca2HgTe)?
  -2.727 eV/atom

- The lowest energy belongs to which entry?
  InPdO2F